No. 1
## Pr3Zn8Ga3 (GGA-PBE)

Data for a relaxed Pr3Zn8Ga3 crystal.

Output
- calculated formation energy (eV per atom) = -0.378
- distance to the lowest polymorph of the same formula (meV per atom) = 23
- VASP energy (Ha/atom) = -0.1021

Lattice parameters (Å, degrees): 4.4050 9.6873 12.8833 90.00 90.00 90.00
Space group Immm (No. 71)
Symmetry-distinct sites (fractional):
Pr1 0.0000 0.0000 0.0000
Pr2 0.0000 0.0000 0.3134
Zn1 0.0000 0.2706 0.1422
Zn2 0.0000 0.3689 0.3357
Ga1 0.0000 0.2196 0.5000
Ga2 0.0000 0.5000 0.0000



No. 2
## PrZn2Ga (GGA-PBE)

Data for a relaxed PrZn2Ga crystal.

Output
- calculated formation energy (eV per atom) = -0.227
- VASP energy (Ha/atom) = -0.1035

Lattice parameters (Å, degrees): 5.2113 9.3306 3.7058 90.00 90.00 90.00
Space group Cmmm (No. 65)
Symmetry-distinct sites (fractional):
Pr1 0.0000 0.0000 0.0000
Zn1 0.2500 0.2500 0.5000
Ga1 0.0000 0.5000 0.5000



No. 3
## Pr3Zn7Ga4 (GGA-PBE)

Data for a relaxed Pr3Zn7Ga4 crystal.

Output
- calculated formation energy (eV per atom) = -0.431
- VASP energy (Ha/atom) = -0.1087

Lattice parameters (Å, degrees): 16.1664 4.3991 9.4935 90.00 125.91 90.00
Space group C2/m (No. 12)
Symmetry-distinct sites (fractional):
Pr1 0.0000 0.0000 0.0000
Pr2 0.1980 0.5000 0.6972
Zn1 0.0000 0.0000 0.5000
Zn2 0.0010 0.5000 0.3050
Zn3 0.1451 0.0000 0.4209
Zn4 0.1571 0.5000 0.0187
Ga1 0.1430 0.0000 0.8642
Ga2 0.1556 0.5000 0.2863



No. 4
## Pr2Zn3Ga2 (GGA-PBE)

Data for a relaxed Pr2Zn3Ga2 crystal.

Output
- calculated formation energy (eV per atom) = -0.259
- distance to the lowest polymorph of the same formula (meV per atom) = 195
- VASP energy (Ha/atom) = -0.1116

Lattice parameters (Å, degrees): 4.1993 21.3817 3.5039 90.00 90.00 90.00
Space group Cmmm (No. 65)
Symmetry-distinct sites (fractional):
Pr1 0.0000 0.1513 0.0000
Zn1 0.0000 0.0000 0.0000
Zn2 0.0000 0.4393 0.5000
Ga1 0.0000 0.2826 0.5000



No. 5
## Pr2ZnGa (GGA-PBE)

Data for a relaxed Pr2ZnGa crystal.

Output
- calculated formation energy (eV per atom) = -0.431
- VASP energy (Ha/atom) = -0.1432

Lattice parameters (Å, degrees): 7.4472 7.4472 7.4472 90.00 90.00 90.00
Space group Fm-3m (No. 225)
Symmetry-distinct sites (fractional):
Pr1 0.2500 0.2500 0.2500
Zn1 0.0000 0.0000 0.0000
Ga1 0.0000 0.0000 0.5000



No. 6
## Pr5Zn2Ga5 (GGA-PBE)

Data for a relaxed Pr5Zn2Ga5 crystal.

Output
- calculated formation energy (eV per atom) = -0.486
- VASP energy (Ha/atom) = -0.1452

Lattice parameters (Å, degrees): 15.4094 4.5455 11.0775 90.00 130.15 90.00
Space group C2/m (No. 12)
Symmetry-distinct sites (fractional):
Pr1 0.0000 0.0000 0.0000
Pr2 0.1015 0.0000 0.4143
Pr3 0.1862 0.0000 0.8219
Zn1 0.1516 0.5000 0.2620
Ga1 0.0000 0.5000 0.5000
Ga2 0.0612 0.5000 0.8614
Ga3 0.2339 0.5000 0.6617



No. 7
## Pr2ZnGa (GGA-PBE)

Data for a relaxed Pr2ZnGa crystal.

Output
- calculated formation energy (eV per atom) = -0.422
- VASP energy (Ha/atom) = -0.1428

Lattice parameters (Å, degrees): 5.2655 5.2655 3.7164 90.00 90.00 90.00
Space group P4/mmm (No. 123)
Symmetry-distinct sites (fractional):
Pr1 0.0000 0.5000 0.0000
Zn1 0.0000 0.0000 0.5000
Ga1 0.5000 0.5000 0.5000



No. 8
## PrZn4Ga3 (GGA-PBE)

Data for a relaxed PrZn4Ga3 crystal.

Output
- calculated formation energy (eV per atom) = -0.290
- VASP energy (Ha/atom) = -0.0977

Lattice parameters (Å, degrees): 4.3177 4.3177 8.0811 90.00 90.00 90.00
Space group P4/mmm (No. 123)
Symmetry-distinct sites (fractional):
Pr1 0.0000 0.0000 0.0000
Zn1 0.0000 0.5000 0.3217
Ga1 0.0000 0.0000 0.5000
Ga2 0.5000 0.5000 0.1511



No. 9
## PrZn12Ga6 (GGA-PBE)

Data for a relaxed PrZn12Ga6 crystal.

Output
- calculated formation energy (eV per atom) = 0.021
- VASP energy (Ha/atom) = -0.0732

Lattice parameters (Å, degrees): 11.6333 11.6333 8.8677 90.00 90.00 120.00
Space group R-3m (No. 166, hexagonal axes)
Symmetry-distinct sites (fractional):
Pr1 0.0000 0.0000 0.0000
Zn1 0.0000 0.3938 0.5000
Zn2 0.0791 0.1583 0.3085
Ga1 0.0364 0.5182 0.2332



No. 10
## PrZn10Ga2 (GGA-PBE)

Data for a relaxed PrZn10Ga2 crystal.

Output
- calculated formation energy (eV per atom) = -0.155
- VASP energy (Ha/atom) = -0.0723

Lattice parameters (Å, degrees): 5.6313 12.3274 12.5914 90.00 90.00 90.00
Space group Fmmm (No. 69)
Symmetry-distinct sites (fractional):
Pr1 0.0000 0.0000 0.0000
Zn1 0.0000 0.1080 0.3894
Zn2 0.0000 0.1768 0.1796
Zn3 0.2500 0.0000 0.2500
Ga1 0.2500 0.2500 0.0000



No. 11
## Pr2Zn5Ga3 (GGA-PBE)

Data for a relaxed Pr2Zn5Ga3 crystal.

Output
- calculated formation energy (eV per atom) = -0.431
- VASP energy (Ha/atom) = -0.1078

Lattice parameters (Å, degrees): 4.2938 4.2938 10.5845 90.00 90.00 90.00
Space group P-4m2 (No. 115)
Symmetry-distinct sites (fractional):
Pr1 0.0000 0.5000 0.2491
Zn1 0.0000 0.0000 0.0000
Zn2 0.0000 0.0000 0.5000
Zn3 0.0000 0.5000 0.8740
Zn4 0.5000 0.5000 0.0000
Ga1 0.0000 0.5000 0.6413
Ga2 0.5000 0.5000 0.5000



No. 12
## Pr12ZnGa6 (GGA-PBE)

Data for a relaxed Pr12ZnGa6 crystal.

Output
- calculated formation energy (eV per atom) = -0.190
- VASP energy (Ha/atom) = -0.1555

Lattice parameters (Å, degrees): 14.5816 14.5816 9.5529 90.00 90.00 120.00
Space group R-3 (No. 148, hexagonal axes)
Symmetry-distinct sites (fractional):
Pr1 0.0446 0.1927 0.3231
Pr2 0.0532 0.2467 0.9464
Zn1 0.0000 0.0000 0.0000
Ga1 0.0519 0.2521 0.6258



No. 13
## Pr2Zn9Ga3 (GGA-PBE)

Data for a relaxed Pr2Zn9Ga3 crystal.

Output
- calculated formation energy (eV per atom) = -0.272
- VASP energy (Ha/atom) = -0.0890

Lattice parameters (Å, degrees): 13.6801 7.9470 9.2513 90.00 90.00 90.00
Space group Cmcm (No. 63)
Symmetry-distinct sites (fractional):
Pr1 0.1627 0.1593 0.2500
Zn1 0.0000 0.1489 0.7500
Zn2 0.0000 0.3399 0.0594
Zn3 0.0945 0.4517 0.7500
Zn4 0.1560 0.1872 0.5921
Ga1 0.0000 0.0000 0.0000
Ga2 0.1888 0.5000 0.0000



No. 14
## Pr2Zn6Ga (GGA-PBE)

Data for a relaxed Pr2Zn6Ga crystal.

Output
- calculated formation energy (eV per atom) = -0.324
- VASP energy (Ha/atom) = -0.0945

Lattice parameters (Å, degrees): 5.8924 5.8924 5.8325 90.00 90.00 120.00
Space group P-3m1 (No. 164)
Symmetry-distinct sites (fractional):
Pr1 0.3333 0.6667 0.3439
Zn1 0.1777 0.3553 0.8416
Ga1 0.0000 0.0000 0.5000



No. 15
## Pr5ZnGa2 (GGA-PBE)

Data for a relaxed Pr5ZnGa2 crystal.

Output
- calculated formation energy (eV per atom) = -0.342
- distance to the lowest polymorph of the same formula (meV per atom) = 0
- VASP energy (Ha/atom) = -0.1560

Lattice parameters (Å, degrees): 7.8047 7.8047 15.2886 90.00 90.00 90.00
Space group I4/mcm (No. 140)
Symmetry-distinct sites (fractional):
Pr1 0.0000 0.0000 0.0000
Pr2 0.1737 0.3263 0.1480
Zn1 0.0000 0.0000 0.2500
Ga1 0.1167 0.3833 0.5000



No. 16
## PrZn3Ga3 (GGA-PBE)

Data for a relaxed PrZn3Ga3 crystal.

Output
- calculated formation energy (eV per atom) = 0.085
- distance to the lowest polymorph of the same formula (meV per atom) = 388
- VASP energy (Ha/atom) = -0.0897

Lattice parameters (Å, degrees): 6.8691 6.8691 6.8691 90.00 90.00 90.00
Space group Pm-3n (No. 223)
Symmetry-distinct sites (fractional):
Pr1 0.0000 0.0000 0.0000
Zn1 0.0000 0.2500 0.5000
Ga1 0.0000 0.5000 0.2500



No. 17
## Pr6ZnGa2 (GGA-PBE)

Data for a relaxed Pr6ZnGa2 crystal.

Output
- calculated formation energy (eV per atom) = -0.291
- distance to the lowest polymorph of the same formula (meV per atom) = 0
- VASP energy (Ha/atom) = -0.1577

Lattice parameters (Å, degrees): 10.0982 10.1085 10.6331 90.00 90.00 90.00
Space group Immm (No. 71)
Symmetry-distinct sites (fractional):
Pr1 0.0000 0.2099 0.1727
Pr2 0.1741 0.2340 0.5000
Pr3 0.1968 0.5000 0.2482
Zn1 0.0000 0.5000 0.0000
Zn2 0.0000 0.5000 0.5000
Ga1 0.0000 0.0000 0.3785
Ga2 0.1448 0.0000 0.0000



No. 18
## Pr2Zn2Ga (GGA-PBE)

Data for a relaxed Pr2Zn2Ga crystal.

Output
- calculated formation energy (eV per atom) = -0.415
- VASP energy (Ha/atom) = -0.1265

Lattice parameters (Å, degrees): 10.7898 4.5705 11.0280 90.00 118.37 90.00
Space group C2/m (No. 12)
Symmetry-distinct sites (fractional):
Pr1 0.0246 0.0000 0.3386
Pr2 0.1984 0.0000 0.1067
Zn1 0.0088 0.5000 0.8857
Zn2 0.1401 0.5000 0.5577
Ga1 0.2278 0.5000 0.3427



No. 19
## PrZrZnGa (GGA-PBE)

Data for a relaxed PrZrZnGa crystal.

Output
- calculated formation energy (eV per atom) = -0.316
- VASP energy (Ha/atom) = -0.1736

Lattice parameters (Å, degrees): 7.0713 7.0713 7.0713 90.00 90.00 90.00
Space group F-43m (No. 216)
Symmetry-distinct sites (fractional):
Pr1 0.0000 0.0000 0.0000
Zr1 0.0000 0.0000 0.5000
Zn1 0.2500 0.2500 0.7500
Ga1 0.2500 0.2500 0.2500



No. 20
## PrZrGa4 (GGA-PBE)

Data for a relaxed PrZrGa4 crystal.

Output
- calculated formation energy (eV per atom) = -0.461
- distance to the lowest polymorph of the same formula (meV per atom) = 74
- VASP energy (Ha/atom) = -0.1727

Lattice parameters (Å, degrees): 7.7593 7.7593 7.7593 90.00 90.00 90.00
Space group F-43m (No. 216)
Symmetry-distinct sites (fractional):
Pr1 0.0000 0.0000 0.0000
Zr1 0.2500 0.2500 0.2500
Ga1 0.1245 0.1245 0.6245



Summary of N(E_F) in states/eV/f.u.
7.1, 2.0, 3.9, 2.8, 3.9, 9.5, 4.7, 3.1, 5.2, 4.3, 3.8, 21.0, 3.5, 5.9, 7.7, 3.3, 11.4, 3.8, 2.5, 2.3
(order as listed above)